--- P ---
PmY6Th: relaxed, GGA-PBE.

## Properties
Space group ... P4/mmm (123)
DOS at the Fermi energy ... 12.5 states/eV/f.u.

Cell lengths 5.067, 5.067, 10.132 Å; angles 90.00, 90.00, 90.00 degrees
Fractional coordinates of all 8 atoms:
Pm1 0.000 0.000 0.000
Y1 0.000 0.500 0.254
Y2 0.000 0.500 0.746
Y3 0.500 0.000 0.254
Y4 0.500 0.000 0.746
Y5 0.500 0.500 0.000
Y6 0.500 0.500 0.500
Th1 0.000 0.000 0.500

---

--- Q ---
PmY6Th: relaxed, GGA-PBE.

## Properties
Space group ... P-1 (2)
DOS at the Fermi energy ... 16.2 states/eV/f.u.

Cell lengths 6.577, 6.822, 6.857 Å; angles 61.51, 79.38, 89.60 degrees
Fractional coordinates of all 8 atoms:
Pm1 0.000 0.000 0.000
Y1 0.235 0.575 0.516
Y2 0.253 0.545 0.003
Y3 0.269 0.090 0.481
Y4 0.731 0.910 0.519
Y5 0.747 0.455 0.997
Y6 0.765 0.425 0.484
Th1 0.500 0.000 0.000

---

The structure with the least stability is Q.

---

--- P ---
Pm7Y2Th2: relaxed, GGA-PBE.

## Properties
Space group ... C2/m (12)
DOS at the Fermi energy ... 16.2 states/eV/f.u.

Cell lengths 8.105, 8.105, 6.161 Å; angles 105.55, 105.55, 90.33 degrees
Fractional coordinates of all 11 atoms:
Pm1 0.000 0.000 0.000
Pm2 0.056 0.589 0.831
Pm3 0.236 0.236 0.591
Pm4 0.411 0.944 0.169
Pm5 0.589 0.056 0.831
Pm6 0.764 0.764 0.409
Pm7 0.944 0.411 0.169
Y1 0.221 0.779 0.500
Y2 0.779 0.221 0.500
Th1 0.425 0.425 0.195
Th2 0.575 0.575 0.805

---

--- Q ---
Pm7Y2Th2: relaxed, GGA-PBE.

## Properties
Space group ... C2/m (12)
DOS at the Fermi energy ... 15.3 states/eV/f.u.

Cell lengths 8.184, 8.184, 6.054 Å; angles 105.63, 105.63, 89.93 degrees
Fractional coordinates of all 11 atoms:
Pm1 0.000 0.000 0.000
Pm2 0.044 0.593 0.827
Pm3 0.407 0.956 0.173
Pm4 0.428 0.428 0.203
Pm5 0.572 0.572 0.797
Pm6 0.593 0.044 0.827
Pm7 0.956 0.407 0.173
Y1 0.224 0.224 0.601
Y2 0.776 0.776 0.399
Th1 0.216 0.784 0.500
Th2 0.784 0.216 0.500

---

The structure with the least stability is Q.